Rb2WI2F4: optimized geometry, GGA+U.

The structure belongs to space group I4/mmm (No. 139); the cell edges are 7.3910, 7.3910 and 9.7590 Å and the angles 90.00°, 90.00° and 90.00°. Symmetry generates all atoms from Rb at (0.0000, 0.5000, 0.2500), W at (0.0000, 0.0000, 0.0000), I at (0.0000, 0.0000, 0.2919) and F at (0.1909, 0.1909, 0.0000).

Its total energy is -4.36 eV per atom. The density of states at the Fermi level is 0.000 states/eV per atom.